DFT (PBE) results for a relaxed Li3NpRh3S8 crystal.

Properties
VASP energy   -5.76 eV per atom
Total moment   2.76 μB/cell
Formation energy from raw total energies   -847 meV per atom

a b c (Å): 7.336 7.336 7.336
angles (deg): 57.47 57.47 57.47
Fractional coordinates of all 15 atoms:
Li 0.000 0.500 0.500
Li 0.500 0.000 0.500
Li 0.500 0.500 0.000
Np 0.500 0.500 0.500
Rh 0.000 0.000 0.500
Rh 0.000 0.500 0.000
Rh 0.500 0.000 0.000
S 0.222 0.758 0.758
S 0.235 0.235 0.235
S 0.242 0.242 0.778
S 0.242 0.778 0.242
S 0.758 0.222 0.758
S 0.758 0.758 0.222
S 0.765 0.765 0.765
S 0.778 0.242 0.242